A plane-wave DFT calculation with PBE-GGA was carried out for a geometry-optimized LiY2F8 structure.

Density of states at the Fermi level = 0.46 states/eV/atom
Space group = C2/m (12)
VASP energy = -6.12 eV per atom
ΔE_f (raw) = -3.4140 eV per atom

a b c (Å): 6.9840 6.9840 5.4409
angles (deg): 109.82 109.82 31.80
With the nearest neighbours (Å) after each atom.
Positions (direct):
Li (0.0000, 0.0000, 0.0000)  2 F 2.01
Y (0.3348, 0.3348, 0.3346)  9 F 2.25-2.52
Y (0.6652, 0.6652, 0.6654)  9 F 2.25-2.52
F (0.0946, 0.0946, 0.7842)  1 Li 2.01
F (0.1759, 0.1759, 0.4071)  3 Y 2.30-2.41, 1 F 2.52
F (0.2841, 0.2841, 0.8910)  3 Y 2.26-2.52, 2 F 2.40-2.52
F (0.4739, 0.4739, 0.7165)  1 Y 2.25, 2 Li 2.40, 2 F 2.45
F (0.5261, 0.5261, 0.2835)  1 Y 2.25, 2 Li 2.40, 2 F 2.45
F (0.7159, 0.7159, 0.1090)  3 Y 2.26-2.52, 2 F 2.40-2.52
F (0.8241, 0.8241, 0.5929)  3 Y 2.30-2.41, 1 F 2.52
F (0.9054, 0.9054, 0.2158)  1 Li 2.01

=====

A plane-wave DFT calculation with PBE-GGA was carried out for a geometry-optimized LaRuBr2 structure.

Density of states at the Fermi level = 0.62 states/eV/atom
Space group = Pm (6)
Energy above the most stable polymorph in this dataset = 0.0 kJ/mol of atoms
VASP energy = -5.14 eV per atom
ΔE_f (raw) = -0.7526 eV per atom

a b c (Å): 4.1215 3.9017 7.6735
angles (deg): 90.00 105.49 90.00
With the nearest neighbours (Å) after each atom.
Positions (direct):
La (0.0000, 0.0000, 0.0000)  4 Ru 2.93-2.94, 2 Br 3.19
Ru (0.4504, 0.5000, 0.8991)  3 Br 2.56-2.58
Br (0.3369, 0.0000, 0.6714)  2 Ru 2.58
Br (0.6202, 0.5000, 0.2457)  1 Ru 2.56

=====

A plane-wave DFT calculation with PBE-GGA was carried out for a geometry-optimized MnVCr2N structure.

Density of states at the Fermi level = 1.56 states/eV/atom
Space group = P4/mmm (123)
Energy above the most stable polymorph in this dataset = 210.4 kJ/mol of atoms
VASP energy = -7.22 eV per atom
ΔE_f (raw) = 1.9499 eV per atom

a b c (Å): 4.1246 4.1246 4.2855
angles (deg): 90.00 90.00 90.00
With the nearest neighbours (Å) after each atom.
Positions (direct):
Mn (0.0000, 0.0000, 0.0000)  4 Cr 2.06, 2 V 2.14
V (0.0000, 0.0000, 0.5000)  2 Mn 2.14
Cr (0.0000, 0.5000, 0.0000)  2 Mn 2.06
Cr (0.5000, 0.0000, 0.0000)  2 Mn 2.06
N (0.5000, 0.5000, 0.5000)  4 V 2.92, 8 Cr 2.97

=====

A plane-wave DFT calculation with PBE-GGA was carried out for a geometry-optimized SrReHg3 structure.

Density of states at the Fermi level = 0.60 states/eV/atom
Space group = Pm-3m (221)
Energy above the most stable polymorph in this dataset = 0.0 kJ/mol of atoms
VASP energy = -2.66 eV per atom
Calculated formation energy = 0.343 eV per atom

a b c (Å): 5.2702 5.2702 5.2702
angles (deg): 90.00 90.00 90.00
With the nearest neighbours (Å) after each atom.
Positions (direct):
Sr (0.0000, 0.0000, 0.0000)  12 Hg 3.73
Re (0.5000, 0.5000, 0.5000)  6 Hg 2.64
Hg (0.0000, 0.5000, 0.5000)  2 Re 2.64
Hg (0.5000, 0.0000, 0.5000)  2 Re 2.64
Hg (0.5000, 0.5000, 0.0000)  2 Re 2.64

=====

A plane-wave DFT calculation with PBE-GGA was carried out for a geometry-optimized La5TbPr2Tm structure.

Density of states at the Fermi level = 1.66 states/eV/atom
Space group = I4/mcm (140)
VASP energy = -4.55 eV per atom
Calculated formation energy = 0.262 eV per atom

a b c (Å): 10.6801 10.6801 10.6801
angles (deg): 132.30 132.30 69.76
With the nearest neighbours (Å) after each atom.
Positions (direct):
La (0.0000, 0.0000, 0.0000)  4 Pr 3.42
La (0.0784, 0.5784, 0.9451)  1 Pr 3.14, 1 Tm 3.29
La (0.1333, 0.0784, 0.5000)  1 Pr 3.14, 1 Tm 3.29
La (0.3667, 0.8667, 0.9451)  1 Pr 3.14, 1 Tm 3.29
La (0.4216, 0.3667, 0.5000)  1 Pr 3.14, 1 Tm 3.29
La (0.5000, 0.5000, 0.0000)  4 Pr 3.42
La (0.5784, 0.6333, 0.5000)  1 Pr 3.14, 1 Tm 3.29
La (0.6333, 0.1333, 0.0549)  1 Pr 3.14, 1 Tm 3.29
La (0.8667, 0.9216, 0.5000)  1 Pr 3.14, 1 Tm 3.29
La (0.9216, 0.4216, 0.0549)  1 Pr 3.14, 1 Tm 3.29
Tb (0.2500, 0.2500, 0.0000)  8 La 3.59
Tb (0.7500, 0.7500, 0.0000)  8 La 3.59
Pr (0.1244, 0.3756, 0.5000)  1 Pr 3.04, 2 La 3.14
Pr (0.3756, 0.8756, 0.2511)  1 Pr 3.04, 2 La 3.14
Pr (0.6244, 0.1244, 0.7489)  1 Pr 3.04, 2 La 3.14
Pr (0.8756, 0.6244, 0.5000)  1 Pr 3.04, 2 La 3.14
Tm (0.2500, 0.7500, 0.5000)  4 La 3.29
Tm (0.7500, 0.2500, 0.5000)  4 La 3.29

=====

A plane-wave DFT calculation with PBE-GGA was carried out for a geometry-optimized GdThIr structure.

Density of states at the Fermi level = 1.07 states/eV/atom
Space group = I4mm (107)
Energy above the most stable polymorph in this dataset = 4.9 kJ/mol of atoms
VASP energy = -10.63 eV per atom
Calculated formation energy = -0.509 eV per atom

a b c (Å): 3.6476 3.6476 11.5260
angles (deg): 90.00 90.00 90.00
With the nearest neighbours (Å) after each atom.
Positions (direct):
Gd (0.0000, 0.0000, 0.0000)  4 Ir 3.18, 1 Th 3.28
Gd (0.5000, 0.5000, 0.5000)  4 Ir 3.18, 1 Th 3.28
Th (0.0000, 0.0000, 0.2846)  4 Ir 2.94, 1 Gd 3.28
Th (0.5000, 0.5000, 0.7846)  4 Ir 2.94, 1 Gd 3.28
Ir (0.0000, 0.0000, 0.6614)  4 Th 2.94, 4 Gd 3.18
Ir (0.5000, 0.5000, 0.1614)  4 Th 2.94, 4 Gd 3.18

=====

A plane-wave DFT calculation with PBE-GGA was carried out for a geometry-optimized AcPm12Dy3 structure.

Density of states at the Fermi level = 1.53 states/eV/atom
Space group = P4/mmm (123)
VASP energy = -4.66 eV per atom
Calculated formation energy = 0.022 eV per atom

a b c (Å): 5.1616 5.1616 20.6447
angles (deg): 90.00 90.00 90.00
With the nearest neighbours (Å) after each atom.
Positions (direct):
Ac (0.0000, 0.0000, 0.0000)  12 Pm 3.65-3.73
Pm (0.0000, 0.5000, 0.1308)  2 Dy 3.61, 8 Pm 3.64-3.73, 2 Ac 3.73
Pm (0.0000, 0.5000, 0.3769)  8 Pm 3.61-3.65, 4 Dy 3.62-3.63
Pm (0.0000, 0.5000, 0.6231)  8 Pm 3.61-3.65, 4 Dy 3.62-3.63
Pm (0.0000, 0.5000, 0.8692)  2 Dy 3.61, 8 Pm 3.64-3.73, 2 Ac 3.73
Pm (0.5000, 0.0000, 0.1308)  2 Dy 3.61, 8 Pm 3.64-3.73, 2 Ac 3.73
Pm (0.5000, 0.0000, 0.3769)  8 Pm 3.61-3.65, 4 Dy 3.62-3.63
Pm (0.5000, 0.0000, 0.6231)  8 Pm 3.61-3.65, 4 Dy 3.62-3.63
Pm (0.5000, 0.0000, 0.8692)  2 Dy 3.61, 8 Pm 3.64-3.73, 2 Ac 3.73
Pm (0.5000, 0.5000, 0.0000)  4 Ac 3.65, 8 Pm 3.73
Pm (0.5000, 0.5000, 0.2548)  8 Pm 3.61-3.64, 4 Dy 3.65
Pm (0.5000, 0.5000, 0.5000)  8 Pm 3.62, 4 Dy 3.65
Pm (0.5000, 0.5000, 0.7452)  8 Pm 3.61-3.64, 4 Dy 3.65
Dy (0.0000, 0.0000, 0.2534)  12 Pm 3.61-3.65
Dy (0.0000, 0.0000, 0.5000)  12 Pm 3.62-3.65
Dy (0.0000, 0.0000, 0.7466)  12 Pm 3.61-3.65

=====

A plane-wave DFT calculation with PBE-GGA was carried out for a geometry-optimized Ca2CuBN structure.

Density of states at the Fermi level = 0.61 states/eV/atom
Space group = P4/mmm (123)
Energy above the most stable polymorph in this dataset = 37.4 kJ/mol of atoms
VASP energy = -4.11 eV per atom
ΔE_f (raw) = 0.5074 eV per atom

a b c (Å): 5.0214 5.0214 3.7391
angles (deg): 90.00 90.00 90.00
With the nearest neighbours (Å) after each atom.
Positions (direct):
Ca (0.0000, 0.5000, 0.0000)  2 B 2.51
Ca (0.5000, 0.0000, 0.0000)  2 B 2.51
Cu (0.0000, 0.0000, 0.5000)  2 B 1.87
B (0.0000, 0.0000, 0.0000)  2 Cu 1.87
N (0.5000, 0.5000, 0.5000)  8 Ca 3.13